PBE with a Hubbard U Li2TiFeO4, relaxed; space-group type = P2/m, No. 10; E above lowest polymorph = 0.013 eV per atom; ρ = 3.9 g/cm3
1.0
5.1855 0.0000 0.0000
0.0000 3.0005 0.0000
-1.8536 0.0000 4.9449
Li Ti Fe O
2 1 1 4
Cartesian
0.0000 0.0000 0.0000 Li
-0.9268 1.5002 2.4725 Li
1.6659 0.0000 2.4725 Ti
2.5927 1.5002 0.0000 Fe
0.8690 1.5002 1.3729 O
0.0810 0.0000 3.6280 O
3.2509 0.0000 1.3169 O
2.4629 1.5002 3.5720 O